SCAN Be2TlBAu, single point on PBEsol structure; symmetry = P4/mmm, No. 123
1.0
3.828 0.000 0.000
0.000 3.828 0.000
0.000 0.000 5.184
Be Tl B Au
2 1 1 1
direct
0.000 0.500 0.000
0.500 0.000 0.000
0.000 0.000 0.500
0.000 0.000 0.000
0.500 0.500 0.500

SCAN FeTc2Ir, single point on PBEsol structure; symmetry = R3m, No. 160; energy relative to the lowest polymorph listed for this composition = 0.0349 eV per atom
1.0
1.341 0.774 8.608
-1.341 0.774 8.608
0.000 -1.548 8.608
Fe Tc Ir
1 2 1
direct
0.000 0.000 0.000
0.251 0.251 0.251
0.501 0.501 0.501
0.747 0.747 0.747

The records above yield energy relative to the elements values of 0.473, -0.029 eV/atom, respectively.